Entry 1:
Computed, not measured: a PBEsol-optimized structure of K3Li2Ta6P3O24 at the meta-GGA SCAN level of DFT.

Unit cell a=8.4326 b=8.4326 c=8.4326 alpha=103.46 beta=103.46 gamma=103.46
With the nearest neighbours (Å) after each atom.
Atoms (fractional coordinates):
Ta  0.0297  0.1604  0.3512  5 O 1.89-2.10
Ta  0.9802  0.6587  0.8494  5 O 1.89-2.10
Ta  0.3512  0.0297  0.1604  5 O 1.89-2.10
Ta  0.1604  0.3512  0.0297  5 O 1.89-2.10
Ta  0.8494  0.9802  0.6587  5 O 1.89-2.10
Ta  0.6587  0.8494  0.9802  5 O 1.89-2.10
K  0.0053  0.6166  0.3929  4 O 2.73-2.88
K  0.3929  0.0053  0.6166  4 O 2.73-2.88
K  0.6166  0.3929  0.0053  4 O 2.73-2.88
P  0.5049  0.7231  0.2869  4 O 1.55
P  0.7231  0.2869  0.5049  4 O 1.55
P  0.2869  0.5049  0.7231  4 O 1.55
O  0.3011  0.4214  0.8687  1 P 1.55
O  0.0049  0.1591  0.8509  2 Ta 1.89
O  0.4600  0.6411  0.7594  1 P 1.55
O  0.2507  0.3686  0.5499  1 P 1.55
O  0.1412  0.5883  0.7087  1 P 1.55
O  0.5499  0.2507  0.3686  1 P 1.55
O  0.3199  0.2144  0.0757  2 Ta 1.90-2.00
O  0.4214  0.8687  0.3011  1 P 1.55
O  0.7087  0.1412  0.5883  1 P 1.55
O  0.8687  0.3011  0.4214  1 P 1.55
O  0.9766  0.0334  0.5050  2 Ta 1.93
O  0.8509  0.0049  0.1591  2 Ta 1.89
O  0.1591  0.8509  0.0049  2 Ta 1.89
O  0.3686  0.5499  0.2507  1 P 1.55
O  0.5050  0.9766  0.0334  2 Ta 1.93
O  0.0757  0.3199  0.2144  2 Ta 1.90-2.00
O  0.6899  0.9342  0.7956  2 Ta 1.90-2.00
O  0.7594  0.4600  0.6411  1 P 1.55
O  0.9342  0.7956  0.6899  2 Ta 1.90-2.00
O  0.2144  0.0757  0.3199  2 Ta 1.90-2.00
O  0.5883  0.7087  0.1412  1 P 1.55
O  0.7956  0.6899  0.9342  2 Ta 1.90-2.00
O  0.0334  0.5050  0.9766  2 Ta 1.93
O  0.6411  0.7594  0.4600  1 P 1.55
Li  0.3641  0.3641  0.3641  3 O 2.01
Li  0.6458  0.6458  0.6458  3 O 2.02

Calculated values
Total DFT energy (no corrections) = -715.403 eV per cell
Formation energy from raw total energies = -2.773 eV per atom

***

Entry 2:
Computed, not measured: a PBEsol-optimized structure of YGeBiO5 at the meta-GGA SCAN level of DFT.

Unit cell a=5.3370 b=11.0185 c=15.2159 alpha=90.00 beta=90.00 gamma=90.00
With the nearest neighbours (Å) after each atom.
Atoms (fractional coordinates):
O  0.1453  0.3083  0.5214  1 Ge 1.75
O  0.3013  0.5410  0.4377  1 Ge 1.77
O  0.1453  0.8083  0.9786  1 Ge 1.75
O  0.7486  0.7353  0.1511  2 Bi 2.17-2.26, 2 Y 2.28-2.38
O  0.1924  0.0257  0.8737  1 Ge 1.77
O  0.8076  0.4743  0.3737  1 Ge 1.77
O  0.3076  0.0257  0.3737  1 Ge 1.77
O  0.8076  0.9743  0.1263  1 Ge 1.77
O  0.8013  0.4590  0.0623  1 Ge 1.77
O  0.9366  0.3310  0.6991  1 Ge 1.78
O  0.0634  0.6690  0.3009  1 Ge 1.78
O  0.3076  0.5257  0.1263  1 Ge 1.77
O  0.6924  0.4743  0.8737  1 Ge 1.77
O  0.8013  0.9590  0.4377  1 Ge 1.77
O  0.3547  0.3083  0.0214  1 Ge 1.75
O  0.2486  0.7647  0.1511  2 Bi 2.17-2.26, 2 Y 2.28-2.38
O  0.5634  0.3310  0.1991  1 Ge 1.78
O  0.2486  0.2647  0.3489  2 Bi 2.17-2.26, 2 Y 2.28-2.38
O  0.6924  0.9743  0.6263  1 Ge 1.77
O  0.0634  0.1690  0.1991  1 Ge 1.78
O  0.2514  0.2647  0.8489  2 Bi 2.17-2.26, 2 Y 2.28-2.38
O  0.7514  0.7353  0.6511  2 Bi 2.17-2.26, 2 Y 2.28-2.38
O  0.1924  0.5257  0.6263  1 Ge 1.77
O  0.2514  0.7647  0.6511  2 Bi 2.17-2.26, 2 Y 2.28-2.38
O  0.3547  0.8083  0.4786  1 Ge 1.75
O  0.6987  0.4590  0.5623  1 Ge 1.77
O  0.6987  0.9590  0.9377  1 Ge 1.77
O  0.8547  0.1917  0.0214  1 Ge 1.75
O  0.7514  0.2353  0.8489  2 Bi 2.17-2.26, 2 Y 2.28-2.38
O  0.8547  0.6917  0.4786  1 Ge 1.75
O  0.3013  0.0410  0.0623  1 Ge 1.77
O  0.5634  0.8310  0.3009  1 Ge 1.78
O  0.9366  0.8310  0.8009  1 Ge 1.78
O  0.6453  0.1917  0.5214  1 Ge 1.75
O  0.1987  0.5410  0.9377  1 Ge 1.77
O  0.6453  0.6917  0.9786  1 Ge 1.75
O  0.4366  0.6690  0.8009  1 Ge 1.78
O  0.4366  0.1690  0.6991  1 Ge 1.78
O  0.7486  0.2353  0.3489  2 Bi 2.17-2.26, 2 Y 2.28-2.38
O  0.1987  0.0410  0.5623  1 Ge 1.77
Y  0.0104  0.6413  0.0538  7 O 2.28-2.38
Y  0.5104  0.8587  0.0538  7 O 2.28-2.38
Y  0.4896  0.6413  0.5538  7 O 2.28-2.38
Y  0.0104  0.1413  0.4462  7 O 2.28-2.38
Y  0.9896  0.8587  0.5538  7 O 2.28-2.38
Y  0.9896  0.3587  0.9462  7 O 2.28-2.38
Y  0.4896  0.1413  0.9462  7 O 2.28-2.38
Y  0.5104  0.3587  0.4462  7 O 2.28-2.38
Ge  0.0062  0.5966  0.4038  4 O 1.75-1.78
Ge  0.5062  0.4034  0.0962  4 O 1.75-1.78
Ge  0.9938  0.4034  0.5962  4 O 1.75-1.78
Ge  0.0062  0.0966  0.0962  4 O 1.75-1.78
Ge  0.5062  0.9034  0.4038  4 O 1.75-1.78
Ge  0.4938  0.0966  0.5962  4 O 1.75-1.78
Ge  0.4938  0.5966  0.9038  4 O 1.75-1.78
Ge  0.9938  0.9034  0.9038  4 O 1.75-1.78
Bi  0.5414  0.8536  0.7384  5 O 2.17-2.33
Bi  0.9586  0.8536  0.2384  5 O 2.17-2.33
Bi  0.0414  0.1464  0.7616  5 O 2.17-2.33
Bi  0.5414  0.3536  0.7616  5 O 2.17-2.33
Bi  0.4586  0.1464  0.2616  5 O 2.17-2.33
Bi  0.9586  0.3536  0.2616  5 O 2.17-2.33
Bi  0.4586  0.6464  0.2384  5 O 2.17-2.33
Bi  0.0414  0.6464  0.7384  5 O 2.17-2.33

Calculated values
Total DFT energy (no corrections) = -1404.569 eV per cell
Formation energy from raw total energies = -2.363 eV per atom

***

Entry 3:
Computed, not measured: a PBEsol-optimized structure of CdSb2Rh at the meta-GGA SCAN level of DFT.

Unit cell a=3.8426 b=3.8426 c=7.4180 alpha=74.99 beta=74.99 gamma=60.00
With the nearest neighbours (Å) after each atom.
Atoms (fractional coordinates):
Rh  0.5000  0.5000  0.5000  6 Sb 2.64
Cd  0.0000  0.0000  0.0000  6 Sb 3.07
Sb  0.2337  0.2337  0.2989  3 Rh 2.64
Sb  0.7663  0.7663  0.7011  3 Rh 2.64

Calculated values
Total DFT energy (no corrections) = -139.555 eV per cell
Formation energy from raw total energies = -0.212 eV per atom

***

Entry 4:
Computed, not measured: a PBEsol-optimized structure of MnCuN2 at the meta-GGA SCAN level of DFT.

Unit cell a=2.6422 b=2.6422 c=6.1703 alpha=77.64 beta=77.64 gamma=60.00
With the nearest neighbours (Å) after each atom.
Atoms (fractional coordinates):
Mn  0.5000  0.5000  0.5000  6 N 1.91
N  0.8975  0.8975  0.3074  1 Cu 1.84, 3 Mn 1.91
N  0.1025  0.1025  0.6926  1 Cu 1.84, 3 Mn 1.91
Cu  0.0000  0.0000  0.0000  2 N 1.84

Calculated values
Relative energy among the computed polymorphs = 0.000 eV/atom
Total DFT energy (no corrections) = -51.774 eV per cell
Formation energy from raw total energies = 0.066 eV per atom

***

Entry 5:
Computed, not measured: a PBEsol-optimized structure of Li3InB2O6 at the meta-GGA SCAN level of DFT.

Unit cell a=5.1925 b=8.9592 c=10.0204 alpha=90.00 beta=90.73 gamma=90.00
With the nearest neighbours (Å) after each atom.
Atoms (fractional coordinates):
O  0.3096  0.4592  0.1395  1 B 1.37
O  0.9082  0.3331  0.0932  1 B 1.40
O  0.2451  0.3156  0.8475  1 B 1.40
O  0.5918  0.8331  0.4068  1 B 1.40
O  0.1904  0.9592  0.3605  1 B 1.37
O  0.7076  0.8032  0.8379  1 B 1.39
O  0.4040  0.8444  0.0877  1 B 1.39
O  0.7924  0.3032  0.6621  1 B 1.39
O  0.4082  0.1669  0.5932  1 B 1.40
O  0.8096  0.0408  0.6395  1 B 1.37
O  0.2549  0.8156  0.6525  1 B 1.40
O  0.0960  0.3444  0.4123  1 B 1.39
O  0.8233  0.9492  0.1183  1 B 1.37
O  0.5960  0.1556  0.9123  1 B 1.39
O  0.1767  0.0508  0.8817  1 B 1.37
O  0.7451  0.1844  0.3475  1 B 1.40
O  0.2076  0.6968  0.3379  1 B 1.39
O  0.0918  0.6669  0.9068  1 B 1.40
O  0.6904  0.5408  0.8605  1 B 1.37
O  0.3233  0.5508  0.6183  1 B 1.37
O  0.7549  0.6844  0.1525  1 B 1.40
O  0.2924  0.1968  0.1621  1 B 1.39
O  0.9040  0.6556  0.5877  1 B 1.39
O  0.6767  0.4492  0.3817  1 B 1.37
Li  0.8253  0.9882  0.9071  3 O 1.90-1.93
Li  0.3396  0.5236  0.8241  4 O 1.86-2.08
Li  0.3253  0.5118  0.4071  3 O 1.90-1.93
Li  0.6695  0.1588  0.1192  4 O 2.01-2.10
Li  0.3305  0.8412  0.8808  4 O 2.01-2.10
Li  0.1604  0.0236  0.6759  4 O 1.86-2.08
Li  0.1695  0.3412  0.6192  4 O 2.01-2.10
Li  0.8305  0.6588  0.3808  4 O 2.01-2.10
Li  0.8396  0.9764  0.3241  4 O 1.86-2.08
Li  0.6604  0.4764  0.1759  4 O 1.86-2.08
Li  0.1747  0.0118  0.0929  3 O 1.90-1.93
Li  0.6747  0.4882  0.5929  3 O 1.90-1.93
In  0.8472  0.3314  0.8773  5 O 2.05-2.19
In  0.3472  0.1686  0.3773  5 O 2.05-2.19
In  0.1528  0.6686  0.1227  5 O 2.05-2.19
In  0.6528  0.8314  0.6227  5 O 2.05-2.19
B  0.8320  0.6701  0.8692  3 O 1.37-1.40
B  0.1642  0.6730  0.6193  3 O 1.37-1.40
B  0.1680  0.3299  0.1308  3 O 1.37-1.40
B  0.3320  0.8299  0.3692  3 O 1.37-1.40
B  0.3358  0.1730  0.8807  3 O 1.37-1.40
B  0.6680  0.1701  0.6308  3 O 1.37-1.40
B  0.6642  0.8270  0.1193  3 O 1.37-1.40
B  0.8358  0.3270  0.3807  3 O 1.37-1.40

Calculated values
Total DFT energy (no corrections) = -485.844 eV per cell
Formation energy from raw total energies = -2.388 eV per atom

***

Entry 6:
Computed, not measured: a PBEsol-optimized structure of LiTiSiO4 at the meta-GGA SCAN level of DFT.

Unit cell a=5.0333 b=5.0333 c=5.8608 alpha=90.00 beta=90.00 gamma=112.51
With the nearest neighbours (Å) after each atom.
Atoms (fractional coordinates):
O  0.2417  0.2953  0.2500  1 Si 1.67
O  0.7666  0.2334  0.9729  1 Si 1.62
O  0.2334  0.7666  0.0271  1 Si 1.62
O  0.7583  0.7047  0.7500  1 Si 1.67
O  0.2334  0.7666  0.4729  1 Si 1.62
O  0.7047  0.7583  0.2500  1 Si 1.67
O  0.7666  0.2334  0.5271  1 Si 1.62
O  0.2953  0.2417  0.7500  1 Si 1.67
Ti  0.0000  0.0000  0.0000  6 O 1.96-2.11
Ti  0.0000  0.0000  0.5000  6 O 1.96-2.11
Li  0.3408  0.6592  0.7500  4 O 1.86-2.02
Li  0.6592  0.3408  0.2500  4 O 1.86-2.02
Si  0.6523  0.3477  0.7500  4 O 1.62-1.67
Si  0.3477  0.6523  0.2500  4 O 1.62-1.67

Calculated values
Relative energy among the computed polymorphs = 0.019 eV/atom
Total DFT energy (no corrections) = -147.742 eV per cell
Formation energy from raw total energies = -2.930 eV per atom

***

Entry 7:
Computed, not measured: a PBEsol-optimized structure of NaTcIN2 at the meta-GGA SCAN level of DFT.

Unit cell a=4.3056 b=4.3056 c=5.6966 alpha=90.00 beta=90.00 gamma=90.00
With the nearest neighbours (Å) after each atom.
Atoms (fractional coordinates):
N  0.0000  0.5000  0.0000  2 Na 2.15
N  0.5000  0.0000  0.0000  2 Na 2.15
Na  0.0000  0.0000  0.0000  4 N 2.15
I  0.0000  0.0000  0.5000  2 Na 2.85, 4 Tc 3.04
Tc  0.5000  0.5000  0.5000  4 I 3.04

Calculated values
Total DFT energy (no corrections) = -83.865 eV per cell
Formation energy from raw total energies = 2.147 eV per atom

***

Entry 8:
Computed, not measured: a PBEsol-optimized structure of TcTePI2 at the meta-GGA SCAN level of DFT.

Unit cell a=5.0485 b=5.2515 c=5.2515 alpha=90.00 beta=90.00 gamma=90.00
With the nearest neighbours (Å) after each atom.
Atoms (fractional coordinates):
Te  0.5000  0.0000  0.0000  2 Tc 2.52
Tc  0.0000  0.0000  0.0000  2 Te 2.52, 4 I 2.63
I  0.0000  0.5000  0.0000  2 Tc 2.63
I  0.0000  0.0000  0.5000  2 Tc 2.63
P  0.5000  0.5000  0.5000  8 I 3.64, 4 Te 3.71

Calculated values
Relative energy among the computed polymorphs = 0.000 eV/atom
Total DFT energy (no corrections) = -151.448 eV per cell
Formation energy from raw total energies = 0.949 eV per atom

***

Entry 9:
Computed, not measured: a PBEsol-optimized structure of CsGa2Si at the meta-GGA SCAN level of DFT.

Unit cell a=5.1502 b=5.1502 c=5.1502 alpha=60.00 beta=60.00 gamma=60.00
With the nearest neighbours (Å) after each atom.
Atoms (fractional coordinates):
Si  0.0000  0.0000  0.0000  8 Ga 3.15
Ga  0.7500  0.7500  0.7500  4 Si 3.15, 4 Cs 3.15
Ga  0.2500  0.2500  0.2500  4 Si 3.15, 4 Cs 3.15
Cs  0.5000  0.5000  0.5000  8 Ga 3.15

Calculated values
Total DFT energy (no corrections) = -78.020 eV per cell
Formation energy from raw total energies = 0.625 eV per atom

***

Q: What is the total DFT energy (no corrections) in the ninth record?
A: -78.020 eV per cell

***

Q: Which of these has the highest total DFT energy (no corrections)?
A: MnCuN2

***

Q: Which value of total DFT energy (no corrections) does entry 6 give?
A: -147.742 eV per cell

***

Q: The lowest total DFT energy (no corrections) belongs to which entry?
A: YGeBiO5